Density functional theory data (PBE) for a geometry-optimized LiTl6Pb8 structure.

Values from the calculation:
Size of the total moment = 0.00 μB/atom
Formation energy = 0.02 eV/atom
N(E_F) = 24.33 states/eV/cell

CIF file:
```
data_LiTl6Pb8
_chemical_formula_sum 'Li3 Tl18 Pb24'
_cell_length_a 8.8210
_cell_length_b 8.8210
_cell_length_c 20.9193
_cell_angle_alpha 90.00
_cell_angle_beta 90.00
_cell_angle_gamma 120.00
_space_group_name_H-M_alt 'R -3'
_space_group_IT_number 148
_space_group_name_Hall '-R 3'
loop_
_atom_site_label
_atom_site_type_symbol
_atom_site_fract_x
_atom_site_fract_y
_atom_site_fract_z
Li1 Li 0.0000 0.0000 0.0000
Tl1 Tl 0.0477 0.7836 0.7207
Pb1 Pb 0.0000 0.0000 0.1507
Pb2 Pb 0.0335 0.7818 0.5603
```